1.
A relaxed Ag3GeN crystal. Source: Alexandria, functional PBE.

The value obtained for the relative energy among the computed polymorphs is 0.6877 eV/atom. The magnetic moment is 2.93 μB per formula unit. The calculation puts the calculated volume at 24.9 Å³ per atom. The value obtained for the raw formation energy is 138 kJ/mol of atoms.

The structure in CIF format:
```
data_Ag3GeN
_cell_length_a 4.9901
_cell_length_b 4.9901
_cell_length_c 4.9901
_cell_angle_alpha 90.00
_cell_angle_beta 90.00
_cell_angle_gamma 90.00
_symmetry_space_group_name_H-M 'P m -3 m'
_symmetry_Int_Tables_number 221
_symmetry_space_group_name_Hall '-P 4 2 3'
loop_
_atom_site_label
_atom_site_type_symbol
_atom_site_fract_x
_atom_site_fract_y
_atom_site_fract_z
_atom_site_occupancy
Ag1 Ag 0.0000 0.0000 0.5000 1
Ge1 Ge 0.0000 0.0000 0.0000 1
N1 N 0.5000 0.5000 0.5000 1
```

=====

2.
A relaxed LiAl2As crystal. Source: Alexandria, functional PBE.

The magnetic moment is 0.00 μB per formula unit. Its energy of formation is 0.054 eV/atom. The calculation puts the calculated volume at 17.5 Å³ per atom.

The structure in CIF format:
```
data_LiAl2As
_cell_length_a 3.5416
_cell_length_b 4.5644
_cell_length_c 8.6534
_cell_angle_alpha 90.00
_cell_angle_beta 90.00
_cell_angle_gamma 90.00
_symmetry_space_group_name_H-M 'C m m m'
_symmetry_Int_Tables_number 65
_symmetry_space_group_name_Hall '-C 2 2'
loop_
_atom_site_label
_atom_site_type_symbol
_atom_site_fract_x
_atom_site_fract_y
_atom_site_fract_z
_atom_site_occupancy
Li1 Li 0.0000 0.0000 0.0000 1
Al1 Al 0.0000 0.5000 0.2460 1
As1 As 0.0000 0.0000 0.5000 1
```

=====

3.
A relaxed Tb4TlRh crystal. Source: Alexandria, functional PBE.

The value obtained for the relative energy among the computed polymorphs is 0.0676 eV/atom. The magnetic moment is 0.00 μB per formula unit. Its energy of formation is -0.434 eV/atom. The calculation puts the calculated volume at 28.0 Å³ per atom.

The structure in CIF format:
```
data_Tb4TlRh
_cell_length_a 8.8062
_cell_length_b 13.0038
_cell_length_c 6.1289
_cell_angle_alpha 90.00
_cell_angle_beta 107.07
_cell_angle_gamma 90.00
_symmetry_space_group_name_H-M 'C 1 2/c 1'
_symmetry_Int_Tables_number 15
_symmetry_space_group_name_Hall '-C 2yc'
loop_
_atom_site_label
_atom_site_type_symbol
_atom_site_fract_x
_atom_site_fract_y
_atom_site_fract_z
_atom_site_occupancy
Tb1 Tb 0.1092 0.1706 0.0487 1
Tb2 Tb 0.2158 0.4200 0.3934 1
Tl1 Tl 0.0000 0.3773 0.7500 1
Rh1 Rh 0.0000 0.0008 0.7500 1
```